(1)
La2CoHgB | PBE | relaxed

```
La2CoHgB
1.0
5.3798 0.0000 0.0000
0.0000 5.3798 0.0000
0.0000 0.0000 4.2012
La Co Hg B
2 1 1 1
Direct
0.0000 0.5000 0.0000
0.5000 0.0000 0.0000
0.0000 0.0000 0.5000
0.5000 0.5000 0.5000
0.5000 0.5000 0.0000
```

Summary:
ΔH_f (0 K)	0.323	eV per atom
V	24.319	A^3/atom

(2)
VZn | PBE | relaxed

```
VZn
1.0
4.9223 0.0000 0.0000
0.0000 4.9223 0.0000
0.0000 0.0000 5.1202
V Zn
4 4
Direct
0.1662 0.1662 0.0000
0.3338 0.6662 0.5000
0.6662 0.3338 0.5000
0.8338 0.8338 0.0000
0.1756 0.1756 0.5000
0.3244 0.6756 0.0000
0.6756 0.3244 0.0000
0.8244 0.8244 0.5000
```

Summary:
ΔH_f (0 K)	0.530	eV per atom
V	15.507	A^3/atom

(3)
DyTc2B2 | PBE | relaxed

```
DyTc2B2
1.0
4.8379 -1.5995 0.0000
4.8379 1.5995 0.0000
-1.1102 0.0000 4.2873
Dy Tc B
1 2 2
Direct
0.0000 0.0000 0.0000
0.3443 0.3443 0.4168
0.6557 0.6557 0.5832
0.2656 0.2656 0.8930
0.7344 0.7344 0.1070
```

Summary:
ΔH_f (0 K)	-0.438	eV per atom
relative energy among the computed polymorphs	0	meV per atom
V	13.271	A^3/atom

(4)
BaTl2Te | PBE | relaxed

```
BaTl2Te
1.0
2.7292 1.5757 5.6232
-2.7292 1.5757 5.6232
0.0000 -3.1514 5.6232
Ba Tl Te
1 2 1
Direct
0.0000 0.0000 0.0000
0.2273 0.2273 0.2273
0.7727 0.7727 0.7727
0.5000 0.5000 0.5000
```

Summary:
relative energy among the computed polymorphs	231	meV per atom
V	36.272	A^3/atom
raw formation energy	-0.423	eV per atom

These records have calculated total energy values of -4.465 -4.667 -8.176 -2.873 eV per atom, in the order they appear.